Material: TcWO6
Method: DFT, GGA+U
State: optimized geometry

**Space-group type**: No. 132
**M_tot**: 0.0000 μB per atom
**Total DFT energy (no corrections)**: -57.69 eV/f.u.

Structure (POSCAR):
```
TcWO6
1.0
4.545 0.000 0.000
0.000 4.545 0.000
0.000 0.000 7.936
Tc W O
2 2 12
direct
0.000 0.000 0.000
0.000 0.000 0.500
0.500 0.500 0.250
0.500 0.500 0.750
0.225 0.225 0.163
0.225 0.225 0.837
0.225 0.775 0.337
0.225 0.775 0.663
0.295 0.295 0.500
0.295 0.705 0.000
0.705 0.295 0.000
0.705 0.705 0.500
0.775 0.225 0.337
0.775 0.225 0.663
0.775 0.775 0.163
0.775 0.775 0.837
```